A plane-wave DFT calculation with PBE was carried out for crystalline AlTl4As at its relaxed geometry.

a b c (Å): 6.345 6.345 6.345
angles (deg): 60.00 60.00 60.00
Atoms (fractional coordinates):
Al (0.000, 0.000, 0.000)
Tl (0.375, 0.375, 0.375)
Tl (0.375, 0.375, 0.874)
Tl (0.375, 0.874, 0.375)
Tl (0.874, 0.375, 0.375)
As (0.750, 0.750, 0.750)

Calculated values
The calculation puts the calculated volume at 180.6 Å³/cell. The density is 8452 kg/m³. The value obtained for the total energy is -0.1851 Ry/atom. The formation energy is 457 meV/atom.